Computed, not measured: a relaxed structure of ZnOs2SeF at the PBE-GGA level of DFT.

a = 4.1102 Å, b = 4.1102 Å, c = 4.9295 Å
α = 90.00°, β = 90.00°, γ = 90.00°
With the nearest neighbours (Å) after each atom.
Sites, in units of the cell vectors:
Zn  0.0000  0.0000  0.0000  4 Se 2.91, 8 Os 3.21
Os  0.0000  0.5000  0.5000  2 F 2.06
Os  0.5000  0.0000  0.5000  2 F 2.06
Se  0.5000  0.5000  0.0000  2 F 2.46
F  0.5000  0.5000  0.5000  4 Os 2.06

Calculated values
Total energy (eV/atom): -4.458
ΔE_f (raw) (meV/atom): 1360
Mass density (g cm⁻³): 10.8

=====

Computed, not measured: a relaxed structure of Zr2OsSeF at the PBE-GGA level of DFT.

a = 5.0874 Å, b = 5.0874 Å, c = 4.7556 Å
α = 90.00°, β = 90.00°, γ = 90.00°
With the nearest neighbours (Å) after each atom.
Sites, in units of the cell vectors:
Zr  0.0000  0.5000  0.0000  2 Os 2.54
Zr  0.5000  0.0000  0.0000  2 Os 2.54
Os  0.0000  0.0000  0.0000  2 Se 2.38, 4 Zr 2.54
Se  0.0000  0.0000  0.5000  2 Os 2.38
F  0.5000  0.5000  0.5000  8 Zr 3.48, 4 Se 3.60

Calculated values
Total energy (eV/atom): -6.628
ΔE_f (raw) (meV/atom): 108
Mass density (g cm⁻³): 6.3

=====

Computed, not measured: a relaxed structure of Si2OsF at the PBE-GGA level of DFT.

a = 4.1892 Å, b = 4.1892 Å, c = 4.1892 Å
α = 60.00°, β = 60.00°, γ = 60.00°
With the nearest neighbours (Å) after each atom.
Sites, in units of the cell vectors:
Si  0.2500  0.2500  0.2500  4 F 2.57, 4 Os 2.57
Si  0.7500  0.7500  0.7500  4 F 2.57, 4 Os 2.57
Os  0.0000  0.0000  0.0000  8 Si 2.57
F  0.5000  0.5000  0.5000  8 Si 2.57

Calculated values
Total energy (eV/atom): -6.059
ΔE to the lowest computed polymorph (meV/atom): 19
ΔE_f (raw) (meV/atom): -72
Mass density (g cm⁻³): 8.5

=====

Computed, not measured: a relaxed structure of SiOs3F at the PBE-GGA level of DFT.

a = 4.4465 Å, b = 4.4465 Å, c = 4.4465 Å
α = 90.00°, β = 90.00°, γ = 90.00°
With the nearest neighbours (Å) after each atom.
Sites, in units of the cell vectors:
Si  0.0000  0.0000  0.0000  6 Os 2.22
Os  0.0000  0.0000  0.5000  2 Si 2.22
Os  0.0000  0.5000  0.0000  2 Si 2.22
Os  0.5000  0.0000  0.0000  2 Si 2.22
F  0.5000  0.5000  0.5000  12 Os 3.14

Calculated values
Total energy (eV/atom): -6.571
ΔE to the lowest computed polymorph (meV/atom): 0
ΔE_f (raw) (meV/atom): 1626
Mass density (g cm⁻³): 11.7

=====

Computed, not measured: a relaxed structure of Si2OsF at the PBE-GGA level of DFT.

a = 6.5207 Å, b = 6.5207 Å, c = 6.5207 Å
α = 132.63°, β = 132.63°, γ = 69.24°
With the nearest neighbours (Å) after each atom.
Sites, in units of the cell vectors:
Si  0.1179  0.6250  0.9929  2 Os 2.27, 2 F 2.31
Si  0.3750  0.3679  0.4929  2 Os 2.27, 2 F 2.31
Si  0.6321  0.1250  0.0071  2 Os 2.27, 2 F 2.31
Si  0.8750  0.8821  0.5071  2 Os 2.27, 2 F 2.31
Os  0.0000  0.0000  0.0000  4 Si 2.27
Os  0.7500  0.2500  0.5000  4 Si 2.27
F  0.2500  0.7500  0.5000  4 Si 2.31
F  0.5000  0.5000  0.0000  4 Si 2.31

Calculated values
Total energy (eV/atom): -6.078
ΔE to the lowest computed polymorph (meV/atom): 0
ΔE_f (raw) (meV/atom): -91
Mass density (g cm⁻³): 6.0

=====

Computed, not measured: a relaxed structure of SrSiOsF2 at the PBE-GGA level of DFT.

a = 4.1273 Å, b = 4.1273 Å, c = 7.1649 Å
α = 90.00°, β = 90.00°, γ = 90.00°
With the nearest neighbours (Å) after each atom.
Sites, in units of the cell vectors:
Sr  0.0000  0.0000  0.0000  4 Os 2.92
Si  0.0000  0.0000  0.5000  4 F 2.06
Os  0.5000  0.5000  0.0000  4 Sr 2.92
F  0.0000  0.5000  0.5000  2 Si 2.06
F  0.5000  0.0000  0.5000  2 Si 2.06

Calculated values
Total energy (eV/atom): -4.436
ΔE_f (raw) (meV/atom): -21
Mass density (g cm⁻³): 4.7

=====

Computed, not measured: a relaxed structure of TlSiOs2F at the PBE-GGA level of DFT.

a = 4.6852 Å, b = 4.6852 Å, c = 3.7259 Å
α = 90.00°, β = 90.00°, γ = 90.00°
With the nearest neighbours (Å) after each atom.
Sites, in units of the cell vectors:
Tl  0.0000  0.0000  0.0000  8 Os 2.99, 4 F 3.31
Si  0.5000  0.5000  0.5000  2 F 1.86
Os  0.0000  0.5000  0.5000  2 Si 2.34
Os  0.5000  0.0000  0.5000  2 Si 2.34
F  0.5000  0.5000  0.0000  2 Si 1.86

Calculated values
Total energy (eV/atom): -5.929
ΔE_f (raw) (meV/atom): 496
Mass density (g cm⁻³): 12.8

=====

Computed, not measured: a relaxed structure of Sm2OsF at the PBE-GGA level of DFT.

a = 6.9931 Å, b = 6.9931 Å, c = 6.9931 Å
α = 32.94°, β = 32.94°, γ = 32.94°
With the nearest neighbours (Å) after each atom.
Sites, in units of the cell vectors:
Sm  0.2480  0.2480  0.2480  3 Os 2.80, 3 F 2.85
Sm  0.7520  0.7520  0.7520  3 Os 2.80, 3 F 2.85
Os  0.5000  0.5000  0.5000  6 Sm 2.80
F  0.0000  0.0000  0.0000  6 Sm 2.85

Calculated values
Total energy (eV/atom): -6.730
ΔE_f (raw) (meV/atom): -1095
Mass density (g cm⁻³): 9.4

=====

- What is the ΔE_f (raw) in the fourth record?
  1626 meV/atom

=====

- Look up the ΔE_f (raw) of the third one.
  -72 meV/atom

=====

Copy entry 5 word for word.
Computed, not measured: a relaxed structure of Si2OsF at the PBE-GGA level of DFT.

a = 6.5207 Å, b = 6.5207 Å, c = 6.5207 Å
α = 132.63°, β = 132.63°, γ = 69.24°
With the nearest neighbours (Å) after each atom.
Sites, in units of the cell vectors:
Si  0.1179  0.6250  0.9929  2 Os 2.27, 2 F 2.31
Si  0.3750  0.3679  0.4929  2 Os 2.27, 2 F 2.31
Si  0.6321  0.1250  0.0071  2 Os 2.27, 2 F 2.31
Si  0.8750  0.8821  0.5071  2 Os 2.27, 2 F 2.31
Os  0.0000  0.0000  0.0000  4 Si 2.27
Os  0.7500  0.2500  0.5000  4 Si 2.27
F  0.2500  0.7500  0.5000  4 Si 2.31
F  0.5000  0.5000  0.0000  4 Si 2.31

Calculated values
Total energy (eV/atom): -6.078
ΔE to the lowest computed polymorph (meV/atom): 0
ΔE_f (raw) (meV/atom): -91
Mass density (g cm⁻³): 6.0